Record 1
This record from the Alexandria database describes a relaxed structure of Tl11S5Br. The functional is PBE.

Computed properties:
Raw formation energy = -0.331 eV/atom
M_tot = 0.0000 μB/atom
Space-group type = C2/m, No. 12
Total DFT energy (no corrections) = -54.0 eV for the cell shown
Density of states at the Fermi level = 0.013 states/eV/atom

a = 9.544 Å, b = 9.544 Å, c = 7.191 Å
α = 100.61°, β = 100.61°, γ = 114.07°
Sites, in units of the cell vectors:
1 Tl 0.000 0.000 0.000
2 Tl 0.149 0.719 0.225
3 Tl 0.177 0.417 0.552
4 Tl 0.281 0.851 0.775
5 Tl 0.355 0.355 0.068
6 Tl 0.417 0.177 0.552
7 Tl 0.583 0.823 0.448
8 Tl 0.645 0.645 0.932
9 Tl 0.719 0.149 0.225
10 Tl 0.823 0.583 0.448
11 Tl 0.851 0.281 0.775
12 S 0.065 0.364 0.147
13 S 0.364 0.065 0.147
14 S 0.500 0.500 0.500
15 S 0.636 0.935 0.853
16 S 0.935 0.636 0.853
17 Br 0.000 0.000 0.500

=====

Record 2
This record from the Alexandria database describes a relaxed structure of TlS3Br. The functional is PBE.

Computed properties:
Raw formation energy = 0.711 eV/atom
M_tot = 0.0000 μB/atom
Space-group type = Pm-3m, No. 221
Total DFT energy (no corrections) = -12.9 eV for the cell shown
Density of states at the Fermi level = 0.538 states/eV/atom
Excess energy over the best structure of this formula in the dataset = 1020 meV/atom

a = 5.000 Å, b = 5.000 Å, c = 5.000 Å
α = 90.00°, β = 90.00°, γ = 90.00°
Sites, in units of the cell vectors:
1 Tl 0.000 0.000 0.000
2 S 0.000 0.500 0.500
3 S 0.500 0.000 0.500
4 S 0.500 0.500 0.000
5 Br 0.500 0.500 0.500

=====

Record 3
This record from the Alexandria database describes a relaxed structure of TlS3Br. The functional is PBE.

Computed properties:
Raw formation energy = -0.309 eV/atom
M_tot = 0.0000 μB/atom
Space-group type = P-1, No. 2
Total DFT energy (no corrections) = -35.9 eV for the cell shown
Density of states at the Fermi level = 0.000 states/eV/atom
Excess energy over the best structure of this formula in the dataset = 0 meV/atom

a = 4.433 Å, b = 4.938 Å, c = 15.940 Å
α = 91.79°, β = 90.93°, γ = 90.08°
Sites, in units of the cell vectors:
1 Tl 0.244 0.238 0.393
2 Tl 0.756 0.762 0.607
3 S 0.024 0.762 0.104
4 S 0.307 0.980 0.851
5 S 0.362 0.771 0.196
6 S 0.638 0.229 0.804
7 S 0.693 0.020 0.149
8 S 0.976 0.238 0.896
9 Br 0.253 0.257 0.591
10 Br 0.747 0.743 0.409

=====

Record 4
This record from the Alexandria database describes a relaxed structure of Tl2SBr. The functional is PBE.

Computed properties:
Raw formation energy = -0.348 eV/atom
M_tot = 0.0000 μB/atom
Space-group type = I-42d, No. 122
Total DFT energy (no corrections) = -23.9 eV for the cell shown
Density of states at the Fermi level = 0.742 states/eV/atom
Excess energy over the best structure of this formula in the dataset = 132 meV/atom

a = 7.155 Å, b = 7.155 Å, c = 7.155 Å
α = 113.23°, β = 113.23°, γ = 102.18°
Sites, in units of the cell vectors:
1 Tl 0.088 0.625 0.963
2 Tl 0.375 0.338 0.463
3 Tl 0.662 0.125 0.037
4 Tl 0.875 0.912 0.537
5 S 0.000 0.000 0.000
6 S 0.750 0.250 0.500
7 Br 0.250 0.750 0.500
8 Br 0.500 0.500 0.000

=====

Record 5
This record from the Alexandria database describes a relaxed structure of Tl4SBr2. The functional is PBE.

Computed properties:
Raw formation energy = -0.445 eV/atom
M_tot = 0.0000 μB/atom
Space-group type = I4/mmm, No. 139
Total DFT energy (no corrections) = -20.1 eV for the cell shown
Density of states at the Fermi level = 0.174 states/eV/atom

a = 9.437 Å, b = 9.437 Å, c = 9.437 Å
α = 142.96°, β = 142.96°, γ = 53.38°
Sites, in units of the cell vectors:
1 Tl 0.000 0.500 0.500
2 Tl 0.168 0.168 0.000
3 Tl 0.500 0.000 0.500
4 Tl 0.832 0.832 0.000
5 S 0.000 0.000 0.000
6 Br 0.375 0.375 0.000
7 Br 0.625 0.625 0.000

=====

Record 6
This record from the Alexandria database describes a relaxed structure of Tl8S4Br. The functional is PBE.

Computed properties:
Raw formation energy = -0.351 eV/atom
M_tot = 0.0000 μB/atom
Space-group type = R-3m, No. 166
Total DFT energy (no corrections) = -41.7 eV for the cell shown
Density of states at the Fermi level = 0.489 states/eV/atom
Excess energy over the best structure of this formula in the dataset = 0 meV/atom

a = 9.323 Å, b = 9.323 Å, c = 9.323 Å
α = 54.18°, β = 54.18°, γ = 54.18°
Sites, in units of the cell vectors:
1 Tl 0.236 0.737 0.737
2 Tl 0.238 0.238 0.238
3 Tl 0.263 0.263 0.764
4 Tl 0.263 0.764 0.263
5 Tl 0.737 0.236 0.737
6 Tl 0.737 0.737 0.236
7 Tl 0.762 0.762 0.762
8 Tl 0.764 0.263 0.263
9 S 0.000 0.000 0.500
10 S 0.000 0.500 0.000
11 S 0.500 0.000 0.000
12 S 0.500 0.500 0.500
13 Br 0.000 0.000 0.000

=====

Among the records above, which one has the lowest density of states at the Fermi level?
number 3